Entry 1:
Y2S2O: relaxed, GGA-PBEsol.

## Properties
Raw total energy ... -8.237 eV/atom

a = 8.171 Å, b = 6.835 Å, c = 6.790 Å
α = 90.00°, β = 99.66°, γ = 90.00°
Fractional coordinates of all 20 atoms:
Y: 0.076 0.144 0.321
Y: 0.076 0.356 0.821
Y: 0.363 0.554 0.250
Y: 0.363 0.946 0.750
Y: 0.637 0.054 0.250
Y: 0.637 0.446 0.750
Y: 0.924 0.644 0.179
Y: 0.924 0.856 0.679
S: 0.181 0.633 0.574
S: 0.181 0.867 0.074
S: 0.423 0.223 0.470
S: 0.423 0.277 0.970
S: 0.577 0.723 0.030
S: 0.577 0.777 0.530
S: 0.819 0.133 0.926
S: 0.819 0.367 0.426
O: 0.117 0.087 0.650
O: 0.117 0.413 0.150
O: 0.883 0.587 0.850
O: 0.883 0.913 0.350

=====

Entry 2:
Sb2O3: relaxed, GGA-PBEsol.

## Properties
Raw total energy ... -6.274 eV/atom

a = 7.357 Å, b = 7.395 Å, c = 11.279 Å
α = 90.00°, β = 90.00°, γ = 90.00°
Fractional coordinates of all 40 atoms:
Sb: 0.012 0.014 0.246
Sb: 0.019 0.440 0.735
Sb: 0.231 0.764 0.496
Sb: 0.240 0.736 0.003
Sb: 0.260 0.264 0.503
Sb: 0.269 0.236 0.996
Sb: 0.481 0.560 0.235
Sb: 0.488 0.986 0.746
Sb: 0.512 0.486 0.754
Sb: 0.519 0.060 0.265
Sb: 0.731 0.736 0.504
Sb: 0.740 0.764 0.997
Sb: 0.760 0.236 0.497
Sb: 0.769 0.264 0.004
Sb: 0.981 0.940 0.765
Sb: 0.988 0.514 0.254
O: 0.016 0.667 0.105
O: 0.045 0.315 0.894
O: 0.072 0.789 0.353
O: 0.117 0.213 0.650
O: 0.143 0.509 0.511
O: 0.246 0.427 0.256
O: 0.254 0.573 0.756
O: 0.357 0.491 0.011
O: 0.383 0.787 0.150
O: 0.428 0.211 0.853
O: 0.455 0.685 0.394
O: 0.484 0.333 0.605
O: 0.516 0.833 0.895
O: 0.545 0.185 0.106
O: 0.572 0.711 0.647
O: 0.617 0.287 0.350
O: 0.643 0.991 0.489
O: 0.746 0.073 0.744
O: 0.754 0.927 0.244
O: 0.857 0.009 0.989
O: 0.883 0.713 0.850
O: 0.928 0.289 0.147
O: 0.955 0.815 0.606
O: 0.984 0.167 0.395

=====

Entry 3:
SbO2: relaxed, GGA-PBEsol.

## Properties
Raw total energy ... -6.429 eV/atom

a = 5.525 Å, b = 11.792 Å, c = 4.836 Å
α = 90.00°, β = 90.00°, γ = 90.00°
Fractional coordinates of all 24 atoms:
Sb: 0.116 0.250 0.250
Sb: 0.250 0.000 0.719
Sb: 0.250 0.500 0.781
Sb: 0.384 0.750 0.250
Sb: 0.616 0.250 0.750
Sb: 0.750 0.000 0.281
Sb: 0.750 0.500 0.219
Sb: 0.884 0.750 0.750
O: 0.077 0.095 0.422
O: 0.077 0.405 0.078
O: 0.140 0.686 0.504
O: 0.140 0.814 0.996
O: 0.360 0.186 0.996
O: 0.360 0.314 0.504
O: 0.423 0.595 0.078
O: 0.423 0.905 0.422
O: 0.577 0.095 0.578
O: 0.577 0.405 0.922
O: 0.640 0.686 0.496
O: 0.640 0.814 0.004
O: 0.860 0.186 0.004
O: 0.860 0.314 0.496
O: 0.923 0.595 0.922
O: 0.923 0.905 0.578

=====

Entry 4:
Sb2O3: relaxed, GGA-PBEsol.

## Properties
Raw total energy ... -6.290 eV/atom

a = 7.779 Å, b = 7.779 Å, c = 7.779 Å
α = 60.00°, β = 60.00°, γ = 60.00°
Fractional coordinates of all 20 atoms:
Sb: 0.229 0.757 0.757
Sb: 0.243 0.243 0.243
Sb: 0.243 0.243 0.771
Sb: 0.243 0.771 0.243
Sb: 0.757 0.229 0.757
Sb: 0.757 0.757 0.229
Sb: 0.757 0.757 0.757
Sb: 0.771 0.243 0.243
O: 0.067 0.067 0.683
O: 0.067 0.683 0.067
O: 0.067 0.683 0.683
O: 0.317 0.317 0.933
O: 0.317 0.933 0.317
O: 0.317 0.933 0.933
O: 0.683 0.067 0.067
O: 0.683 0.067 0.683
O: 0.683 0.683 0.067
O: 0.933 0.317 0.317
O: 0.933 0.317 0.933
O: 0.933 0.933 0.317

=====

Entry 5:
Sb2O3: relaxed, GGA-PBEsol.

## Properties
Raw total energy ... -6.313 eV/atom

a = 4.898 Å, b = 12.252 Å, c = 5.378 Å
α = 90.00°, β = 90.00°, γ = 90.00°
Fractional coordinates of all 20 atoms:
Sb: 0.036 0.127 0.179
Sb: 0.036 0.373 0.679
Sb: 0.464 0.127 0.679
Sb: 0.464 0.373 0.179
Sb: 0.536 0.627 0.821
Sb: 0.536 0.873 0.321
Sb: 0.964 0.627 0.321
Sb: 0.964 0.873 0.821
O: 0.144 0.056 0.848
O: 0.144 0.444 0.348
O: 0.250 0.250 0.002
O: 0.250 0.250 0.502
O: 0.356 0.056 0.348
O: 0.356 0.444 0.848
O: 0.644 0.556 0.152
O: 0.644 0.944 0.652
O: 0.750 0.750 0.498
O: 0.750 0.750 0.998
O: 0.856 0.556 0.652
O: 0.856 0.944 0.152

=====

Entry 6:
Sb2O3: relaxed, GGA-PBEsol.

## Properties
Raw total energy ... -6.290 eV/atom

a = 8.094 Å, b = 4.687 Å, c = 10.473 Å
α = 90.00°, β = 120.71°, γ = 90.00°
Fractional coordinates of all 20 atoms:
Sb: 0.097 0.181 0.406
Sb: 0.097 0.319 0.906
Sb: 0.395 0.652 0.308
Sb: 0.395 0.848 0.808
Sb: 0.605 0.152 0.192
Sb: 0.605 0.348 0.692
Sb: 0.903 0.681 0.094
Sb: 0.903 0.819 0.594
O: 0.107 0.672 0.807
O: 0.107 0.828 0.307
O: 0.154 0.606 0.102
O: 0.154 0.894 0.602
O: 0.446 0.061 0.288
O: 0.446 0.439 0.788
O: 0.554 0.561 0.212
O: 0.554 0.939 0.712
O: 0.846 0.106 0.398
O: 0.846 0.394 0.898
O: 0.893 0.172 0.693
O: 0.893 0.328 0.193

=====

Entry 7:
SbO2: relaxed, GGA-PBEsol.

## Properties
Raw total energy ... -6.427 eV/atom

a = 6.505 Å, b = 6.505 Å, c = 5.535 Å
α = 100.22°, β = 100.22°, γ = 43.52°
Fractional coordinates of all 12 atoms:
Sb: 0.000 0.500 0.000
Sb: 0.218 0.782 0.750
Sb: 0.500 0.000 0.500
Sb: 0.782 0.218 0.250
O: 0.014 0.175 0.962
O: 0.175 0.014 0.462
O: 0.290 0.334 0.760
O: 0.334 0.290 0.260
O: 0.666 0.710 0.740
O: 0.710 0.666 0.240
O: 0.825 0.986 0.538
O: 0.986 0.825 0.038

=====

Entry 8:
SbO2: relaxed, GGA-PBEsol.

## Properties
Raw total energy ... -6.287 eV/atom

a = 6.087 Å, b = 6.087 Å, c = 3.909 Å
α = 94.60°, β = 94.60°, γ = 38.05°
Fractional coordinates of all 6 atoms:
Sb: 0.000 0.000 0.000
Sb: 0.714 0.714 0.296
O: 0.175 0.175 0.085
O: 0.541 0.541 0.021
O: 0.831 0.831 0.944
O: 0.990 0.990 0.502